Li6CdGe2 | PBE | relaxed

## Properties
- N(E_F) (states/eV/f.u.) = 2.4
- DFT total energy (eV/atom) = -2.582
- total moment (μB per cell) = 0.00
- excess energy over the best structure of this formula in the dataset (eV per atom) = 0.094
- ΔH_f (0 K) (meV/atom) = -178

Lattice parameters (Å, degrees): 6.960 6.960 4.692 101.49 101.49 49.42
Sites, in units of the cell vectors:
Li: 0.114 0.667 0.551
Li: 0.289 0.289 0.013
Li: 0.333 0.886 0.449
Li: 0.667 0.114 0.551
Li: 0.711 0.711 0.987
Li: 0.886 0.333 0.449
Cd: 0.500 0.500 0.000
Ge: 0.089 0.089 0.930
Ge: 0.911 0.911 0.070

---

TbTmHg5 | PBE | relaxed

## Properties
- N(E_F) (states/eV/f.u.) = 2.9
- DFT total energy (eV/atom) = -1.765
- total moment (μB per cell) = 0.00
- ΔH_f (0 K) (meV/atom) = -250

Lattice parameters (Å, degrees): 4.603 4.603 8.635 90.00 90.00 90.00
Sites, in units of the cell vectors:
Tb: 0.000 0.000 0.000
Tm: 0.500 0.500 0.500
Hg: 0.000 0.000 0.500
Hg: 0.000 0.500 0.240
Hg: 0.000 0.500 0.760
Hg: 0.500 0.000 0.240
Hg: 0.500 0.000 0.760

---

Ac4CeAu5 | PBE | relaxed

## Properties
- N(E_F) (states/eV/f.u.) = 11.4
- DFT total energy (eV/atom) = -4.605
- total moment (μB per cell) = 0.94
- ΔH_f (0 K) (meV/atom) = -730

Lattice parameters (Å, degrees): 3.864 3.864 19.426 90.00 90.00 90.00
Sites, in units of the cell vectors:
Ac: 0.000 0.000 0.102
Ac: 0.000 0.000 0.306
Ac: 0.000 0.000 0.694
Ac: 0.000 0.000 0.898
Ce: 0.000 0.000 0.500
Au: 0.500 0.500 0.000
Au: 0.500 0.500 0.204
Au: 0.500 0.500 0.413
Au: 0.500 0.500 0.587
Au: 0.500 0.500 0.796

---

YCd2Bi | PBE | relaxed

## Properties
- N(E_F) (states/eV/f.u.) = 1.4
- DFT total energy (eV/atom) = -3.438
- total moment (μB per cell) = 0.00
- ΔH_f (0 K) (meV/atom) = -394

Lattice parameters (Å, degrees): 4.512 4.512 5.113 90.00 90.00 90.00
Sites, in units of the cell vectors:
Y: 0.000 0.000 0.000
Cd: 0.000 0.500 0.500
Cd: 0.500 0.000 0.500
Bi: 0.500 0.500 0.000

---

Ga2GePd5 | PBE | relaxed

## Properties
- N(E_F) (states/eV/f.u.) = 3.3
- DFT total energy (eV/atom) = -4.881
- total moment (μB per cell) = 0.00
- excess energy over the best structure of this formula in the dataset (eV per atom) = 0.262
- ΔH_f (0 K) (meV/atom) = -302

Lattice parameters (Å, degrees): 7.478 7.478 13.310 90.00 90.00 157.84
Sites, in units of the cell vectors:
Ga: 0.124 0.876 0.568
Ga: 0.124 0.876 0.932
Ga: 0.876 0.124 0.068
Ga: 0.876 0.124 0.432
Ge: 0.148 0.852 0.250
Ge: 0.852 0.148 0.750
Pd: 0.041 0.959 0.101
Pd: 0.041 0.959 0.399
Pd: 0.186 0.814 0.750
Pd: 0.233 0.767 0.089
Pd: 0.233 0.767 0.411
Pd: 0.767 0.233 0.589
Pd: 0.767 0.233 0.911
Pd: 0.814 0.186 0.250
Pd: 0.959 0.041 0.601
Pd: 0.959 0.041 0.899

---

Ca5Cu2Au | PBE | relaxed

## Properties
- N(E_F) (states/eV/f.u.) = 5.4
- DFT total energy (eV/atom) = -3.001
- total moment (μB per cell) = 0.00
- ΔH_f (0 K) (meV/atom) = -316

Lattice parameters (Å, degrees): 9.190 9.190 9.190 130.63 130.63 72.40
Sites, in units of the cell vectors:
Ca: 0.000 0.000 0.000
Ca: 0.029 0.529 0.845
Ca: 0.184 0.029 0.500
Ca: 0.316 0.816 0.845
Ca: 0.471 0.316 0.500
Ca: 0.500 0.500 0.000
Ca: 0.529 0.684 0.500
Ca: 0.684 0.184 0.155
Ca: 0.816 0.971 0.500
Ca: 0.971 0.471 0.155
Cu: 0.114 0.386 0.500
Cu: 0.386 0.886 0.273
Cu: 0.614 0.114 0.727
Cu: 0.886 0.614 0.500
Au: 0.250 0.250 0.000
Au: 0.750 0.750 0.000

---

Ac2ThTi | PBE | relaxed

## Properties
- N(E_F) (states/eV/f.u.) = 5.7
- DFT total energy (eV/atom) = -5.264
- total moment (μB per cell) = 6.60
- ΔH_f (0 K) (meV/atom) = 619

Lattice parameters (Å, degrees): 3.621 3.621 37.369 90.00 90.00 120.00
Sites, in units of the cell vectors:
Ac: 0.000 0.000 0.085
Ac: 0.000 0.000 0.915
Ac: 0.333 0.667 0.582
Ac: 0.333 0.667 0.751
Ac: 0.667 0.333 0.249
Ac: 0.667 0.333 0.418
Th: 0.000 0.000 0.500
Th: 0.333 0.667 0.167
Th: 0.667 0.333 0.833
Ti: 0.000 0.000 0.000
Ti: 0.333 0.667 0.667
Ti: 0.667 0.333 0.333

---

Ce3AlIr4 | PBE | relaxed

## Properties
- N(E_F) (states/eV/f.u.) = 9.8
- DFT total energy (eV/atom) = -7.699
- total moment (μB per cell) = 0.77
- ΔH_f (0 K) (meV/atom) = -575

Lattice parameters (Å, degrees): 5.794 9.057 6.050 90.00 90.00 90.00
Sites, in units of the cell vectors:
Ce: 0.000 0.000 0.000
Ce: 0.000 0.283 0.738
Ce: 0.000 0.717 0.738
Ce: 0.500 0.217 0.238
Ce: 0.500 0.500 0.500
Ce: 0.500 0.783 0.238
Al: 0.000 0.500 0.323
Al: 0.500 0.000 0.823
Ir: 0.000 0.235 0.254
Ir: 0.000 0.765 0.254
Ir: 0.237 0.000 0.495
Ir: 0.263 0.500 0.995
Ir: 0.500 0.265 0.754
Ir: 0.500 0.735 0.754
Ir: 0.737 0.500 0.995
Ir: 0.763 0.000 0.495

---

Bi3PtPb | PBE | relaxed

## Properties
- N(E_F) (states/eV/f.u.) = 3.1
- DFT total energy (eV/atom) = -4.030
- total moment (μB per cell) = 0.00
- excess energy over the best structure of this formula in the dataset (eV per atom) = 0.332
- ΔH_f (0 K) (meV/atom) = 248

Lattice parameters (Å, degrees): 5.491 5.491 5.491 90.00 90.00 90.00
Sites, in units of the cell vectors:
Bi: 0.000 0.000 0.500
Bi: 0.000 0.500 0.000
Bi: 0.500 0.000 0.000
Pt: 0.000 0.000 0.000
Pb: 0.500 0.500 0.500

---

MgNi2Os | PBE | relaxed

## Properties
- N(E_F) (states/eV/f.u.) = 3.9
- DFT total energy (eV/atom) = -6.063
- total moment (μB per cell) = 0.00
- ΔH_f (0 K) (meV/atom) = 34

Lattice parameters (Å, degrees): 9.226 2.645 4.493 90.00 107.86 90.00
Sites, in units of the cell vectors:
Mg: 0.000 0.000 0.000
Mg: 0.500 0.500 0.000
Ni: 0.020 0.500 0.503
Ni: 0.244 0.000 0.849
Ni: 0.520 0.000 0.503
Ni: 0.744 0.500 0.849
Os: 0.277 0.500 0.370
Os: 0.777 0.000 0.370

---

Hf2TiNbCo | PBE | relaxed

## Properties
- N(E_F) (states/eV/f.u.) = 6.9
- DFT total energy (eV/atom) = -7.609
- total moment (μB per cell) = 0.00
- ΔH_f (0 K) (meV/atom) = 1386

Lattice parameters (Å, degrees): 5.032 5.032 4.595 90.00 90.00 90.00
Sites, in units of the cell vectors:
Hf: 0.000 0.500 0.000
Hf: 0.500 0.000 0.000
Ti: 0.000 0.000 0.500
Nb: 0.000 0.000 0.000
Co: 0.500 0.500 0.500

---

PrTl3S3 | PBE | relaxed

## Properties
- raw formation energy (kJ/mol of formula units) = -665
- DFT total energy (eV/atom) = -4.450
- total moment (μB per cell) = 0.00

Lattice parameters (Å, degrees): 8.873 4.209 12.202 90.00 94.21 90.00
Sites, in units of the cell vectors:
Pr: 0.115 0.250 0.381
Pr: 0.885 0.750 0.619
Tl: 0.138 0.250 0.876
Tl: 0.329 0.750 0.147
Tl: 0.384 0.750 0.632
Tl: 0.616 0.250 0.368
Tl: 0.671 0.250 0.853
Tl: 0.862 0.750 0.124
S: 0.096 0.250 0.147
S: 0.107 0.250 0.617
S: 0.335 0.750 0.390
S: 0.665 0.250 0.610
S: 0.893 0.750 0.383
S: 0.904 0.750 0.853

---

CsMnTe4 | PBE | relaxed

## Properties
- N(E_F) (states/eV/f.u.) = 0.7
- raw formation energy (kJ/mol of formula units) = -141
- DFT total energy (eV/atom) = -4.008
- total moment (μB per cell) = 0.00

Lattice parameters (Å, degrees): 9.058 9.058 6.876 98.03 98.03 54.96
Sites, in units of the cell vectors:
Cs: 0.187 0.187 0.162
Cs: 0.813 0.813 0.838
Mn: 0.490 0.490 0.694
Mn: 0.510 0.510 0.306
Te: 0.203 0.618 0.451
Te: 0.311 0.689 0.000
Te: 0.317 0.317 0.719
Te: 0.382 0.797 0.549
Te: 0.618 0.203 0.451
Te: 0.683 0.683 0.281
Te: 0.689 0.311 0.000
Te: 0.797 0.382 0.549

---

MnNi6Sb | PBE | relaxed

## Properties
- N(E_F) (states/eV/f.u.) = 7.4
- raw formation energy (kJ/mol of formula units) = -92
- DFT total energy (eV/atom) = -6.116
- total moment (μB per cell) = 19.86
- excess energy over the best structure of this formula in the dataset (eV per atom) = 0.000

Lattice parameters (Å, degrees): 6.324 6.324 10.331 90.00 90.00 109.40
Sites, in units of the cell vectors:
Mn: 0.000 0.000 0.244
Mn: 0.000 0.000 0.756
Mn: 0.249 0.751 0.000
Mn: 0.751 0.249 0.000
Ni: 0.000 0.000 0.000
Ni: 0.000 0.000 0.500
Ni: 0.117 0.372 0.121
Ni: 0.117 0.372 0.879
Ni: 0.123 0.368 0.371
Ni: 0.123 0.368 0.629
Ni: 0.246 0.754 0.244
Ni: 0.246 0.754 0.756
Ni: 0.368 0.123 0.371
Ni: 0.368 0.123 0.629
Ni: 0.372 0.117 0.121
Ni: 0.372 0.117 0.879
Ni: 0.500 0.500 0.000
Ni: 0.500 0.500 0.500
Ni: 0.628 0.883 0.121
Ni: 0.628 0.883 0.879
Ni: 0.632 0.877 0.371
Ni: 0.632 0.877 0.629
Ni: 0.754 0.246 0.244
Ni: 0.754 0.246 0.756
Ni: 0.877 0.632 0.371
Ni: 0.877 0.632 0.629
Ni: 0.883 0.628 0.121
Ni: 0.883 0.628 0.879
Sb: 0.250 0.750 0.500
Sb: 0.500 0.500 0.244
Sb: 0.500 0.500 0.756
Sb: 0.750 0.250 0.500

---

Na3Np2BiSe6 | PBE | relaxed

## Properties
- N(E_F) (states/eV/f.u.) = 20.2
- raw formation energy (kJ/mol of formula units) = -1202
- DFT total energy (eV/atom) = -5.590
- total moment (μB per cell) = 8.00

Lattice parameters (Å, degrees): 7.332 7.332 7.400 99.49 99.49 119.99
Sites, in units of the cell vectors:
Na: 0.000 0.000 0.000
Na: 0.338 0.662 0.000
Na: 0.662 0.338 0.000
Np: 0.167 0.833 0.500
Np: 0.833 0.167 0.500
Bi: 0.500 0.500 0.500
Se: 0.082 0.422 0.266
Se: 0.237 0.237 0.733
Se: 0.422 0.082 0.266
Se: 0.578 0.918 0.734
Se: 0.763 0.763 0.267
Se: 0.918 0.578 0.734

---

TlNi2P | PBE | relaxed

## Properties
- N(E_F) (states/eV/f.u.) = 2.9
- DFT total energy (eV/atom) = -4.891
- total moment (μB per cell) = 0.00
- ΔH_f (0 K) (meV/atom) = -57

Lattice parameters (Å, degrees): 3.002 3.271 12.818 90.00 90.00 90.00
Sites, in units of the cell vectors:
Tl: 0.000 0.000 0.000
Tl: 0.500 0.500 0.500
Ni: 0.000 0.000 0.641
Ni: 0.000 0.500 0.308
Ni: 0.500 0.000 0.808
Ni: 0.500 0.500 0.141
P: 0.000 0.500 0.756
P: 0.500 0.000 0.256

---

Sr3Si2Ag4 | PBE | relaxed

## Properties
- N(E_F) (states/eV/f.u.) = 4.4
- raw formation energy (kJ/mol of formula units) = -263
- DFT total energy (eV/atom) = -3.336
- total moment (μB per cell) = 0.00

Lattice parameters (Å, degrees): 6.300 6.300 9.021 101.05 101.05 42.46
Sites, in units of the cell vectors:
Sr: 0.000 0.000 0.000
Sr: 0.331 0.331 0.340
Sr: 0.669 0.669 0.660
Si: 0.400 0.400 0.717
Si: 0.600 0.600 0.283
Ag: 0.057 0.057 0.376
Ag: 0.287 0.287 0.930
Ag: 0.713 0.713 0.070
Ag: 0.943 0.943 0.624

---

SrCo3 | PBE | relaxed

## Properties
- N(E_F) (states/eV/f.u.) = 4.5
- DFT total energy (eV/atom) = -4.906
- total moment (μB per cell) = 4.30
- ΔH_f (0 K) (meV/atom) = 844

Lattice parameters (Å, degrees): 4.456 4.456 3.221 90.00 90.00 90.00
Sites, in units of the cell vectors:
Sr: 0.000 0.000 0.000
Co: 0.000 0.500 0.500
Co: 0.500 0.000 0.500
Co: 0.500 0.500 0.000

---

YMg2GaC | PBE | relaxed

## Properties
- N(E_F) (states/eV/f.u.) = 2.8
- DFT total energy (eV/atom) = -4.490
- total moment (μB per cell) = 0.00
- ΔH_f (0 K) (meV/atom) = -109

Lattice parameters (Å, degrees): 4.424 4.424 4.876 90.00 90.00 90.00
Sites, in units of the cell vectors:
Y: 0.000 0.000 0.000
Mg: 0.000 0.500 0.500
Mg: 0.500 0.000 0.500
Ga: 0.500 0.500 0.000
C: 0.000 0.000 0.500

---

Ti3ICl | PBE | relaxed

## Properties
- N(E_F) (states/eV/f.u.) = 9.7
- raw formation energy (kJ/mol of formula units) = 525
- DFT total energy (eV/atom) = -4.327
- total moment (μB per cell) = 4.54
- excess energy over the best structure of this formula in the dataset (eV per atom) = 0.784

Lattice parameters (Å, degrees): 5.130 5.130 5.130 90.00 90.00 90.00
Sites, in units of the cell vectors:
Ti: 0.000 0.000 0.500
Ti: 0.000 0.500 0.000
Ti: 0.500 0.000 0.000
I: 0.000 0.000 0.000
Cl: 0.500 0.500 0.500

---

Si2AsRh | PBE | relaxed

## Properties
- N(E_F) (states/eV/f.u.) = 1.9
- raw formation energy (kJ/mol of formula units) = -51
- DFT total energy (eV/atom) = -5.843
- total moment (μB per cell) = 0.00
- excess energy over the best structure of this formula in the dataset (eV per atom) = 0.080

Lattice parameters (Å, degrees): 2.766 3.228 6.976 90.00 90.00 90.00
Sites, in units of the cell vectors:
Si: 0.000 0.000 0.208
Si: 0.000 0.000 0.792
As: 0.000 0.500 0.500
Rh: 0.500 0.500 0.000

---

CePm2SmDy6 | PBE | relaxed

## Properties
- N(E_F) (states/eV/f.u.) = 20.4
- DFT total energy (eV/atom) = -4.530
- total moment (μB per cell) = 1.10
- ΔH_f (0 K) (meV/atom) = 247

Lattice parameters (Å, degrees): 6.634 6.634 9.022 105.27 105.27 60.88
Sites, in units of the cell vectors:
Ce: 0.000 0.000 0.000
Pm: 0.412 0.412 0.829
Pm: 0.588 0.588 0.171
Sm: 0.500 0.500 0.500
Dy: 0.084 0.568 0.196
Dy: 0.130 0.130 0.419
Dy: 0.432 0.916 0.804
Dy: 0.568 0.084 0.196
Dy: 0.870 0.870 0.581
Dy: 0.916 0.432 0.804

---

LiAc2Ag16 | PBE | relaxed

## Properties
- N(E_F) (states/eV/f.u.) = 7.6
- DFT total energy (eV/atom) = -3.062
- total moment (μB per cell) = 0.00
- ΔH_f (0 K) (meV/atom) = -127

Lattice parameters (Å, degrees): 7.397 7.397 7.397 82.23 82.23 82.23
Sites, in units of the cell vectors:
Li: 0.000 0.000 0.000
Ac: 0.258 0.258 0.258
Ac: 0.573 0.573 0.573
Ag: 0.066 0.564 0.564
Ag: 0.208 0.612 0.910
Ag: 0.208 0.910 0.612
Ag: 0.258 0.258 0.756
Ag: 0.258 0.756 0.258
Ag: 0.407 0.911 0.911
Ag: 0.564 0.066 0.564
Ag: 0.564 0.564 0.066
Ag: 0.612 0.208 0.910
Ag: 0.612 0.910 0.208
Ag: 0.756 0.258 0.258
Ag: 0.813 0.813 0.813
Ag: 0.910 0.208 0.612
Ag: 0.910 0.612 0.208
Ag: 0.911 0.407 0.911
Ag: 0.911 0.911 0.407